Entry 1:
The following is a DFT calculation (PBE) of a relaxed BaHfSiW2 crystal.

Values from the calculation:
Its formation energy without anion corrections is 3131 meV per atom.

Lattice parameters (Å, degrees): 5.055 5.014 5.055 90.00 90.00 90.00
Last column: magnetic moment on the atom in μB.
Fractional coordinates of all 5 atoms:
Si 0.000 0.500 0.000  -0.01
Hf 0.500 0.500 0.500  -0.02
Ba 0.000 0.000 0.000  0.00
W 0.000 0.000 0.500  0.36
W 0.500 0.000 0.000  0.48

Entry 2:
The following is a DFT calculation (PBE) of a relaxed BaHfZn2Si crystal.

Values from the calculation:
Its formation energy without anion corrections is 115 meV per atom.

Lattice parameters (Å, degrees): 5.291 5.151 5.291 90.00 90.00 90.00
Fractional coordinates of all 5 atoms:
Si 0.000 0.500 0.000
Zn 0.000 0.000 0.500
Zn 0.500 0.000 0.000
Hf 0.000 0.000 0.000
Ba 0.500 0.500 0.500

Entry 3:
The following is a DFT calculation (PBE) of a relaxed BaHf3Sn crystal.

Values from the calculation:
As for the formation enthalpy at 0 K: 0.94 eV per atom.

Lattice parameters (Å, degrees): 5.456 5.456 5.456 90.00 90.00 90.00
Fractional coordinates of all 5 atoms:
Hf 0.000 0.500 0.000
Hf 0.000 0.000 0.500
Hf 0.500 0.000 0.000
Ba 0.500 0.500 0.500
Sn 0.000 0.000 0.000

Entry 4:
The following is a DFT calculation (PBE) of a relaxed BaHfSn3 crystal.

Values from the calculation:
As for the formation enthalpy at 0 K: -0.27 eV per atom.

Lattice parameters (Å, degrees): 5.563 5.563 5.563 90.00 90.00 90.00
Fractional coordinates of all 5 atoms:
Hf 0.000 0.000 0.000
Ba 0.500 0.500 0.500
Sn 0.000 0.500 0.000
Sn 0.000 0.000 0.500
Sn 0.500 0.000 0.000